(1)
This record from the Alexandria database describes crystalline Cd2HgSe at its relaxed geometry. The functional is GGA-PBEsol.

## Properties
The total magnetization comes out at 0.0000 μB per atom. The symmetry is Cmmm (65). The formation energy from raw total energies is -0.049 eV per atom. The value obtained for the total energy is -0.1287 Ry/atom.

Lattice parameters (Å, degrees): 3.6827 3.6827 6.3729 90.00 90.00 89.66
Fractional positions:
Cd  0.0000  0.0000  0.7563
Cd  0.0000  0.0000  0.2437
Se  0.5000  0.5000  0.0000
Hg  0.5000  0.5000  0.5000



(2)
This record from the Alexandria database describes crystalline CdSiHg at its relaxed geometry. The functional is GGA-PBEsol.

## Properties
The total magnetization comes out at 0.0000 μB per atom. The symmetry is P-6m2 (187). The formation energy from raw total energies is 0.336 eV per atom. The value obtained for the total energy is -0.1593 Ry/atom.

Lattice parameters (Å, degrees): 2.9566 4.8291 4.8291 120.00 90.00 90.00
Fractional positions:
Cd  0.0003  0.0000  0.0000
Hg  0.5006  0.3333  0.6667
Si  0.4991  0.6667  0.3333



(3)
This record from the Alexandria database describes crystalline CdSiHg2 at its relaxed geometry. The functional is GGA-PBEsol.

## Properties
The total magnetization comes out at 0.0000 μB per atom. The symmetry is Cmmm (65). The formation energy from raw total energies is 0.254 eV per atom. The value obtained for the total energy is -0.1298 Ry/atom.

Lattice parameters (Å, degrees): 2.8625 3.0616 10.7581 90.00 90.00 117.87
Fractional positions:
Cd  0.5000  0.0000  0.0000
Hg  0.0000  0.0000  0.7406
Hg  0.0000  0.0000  0.2594
Si  0.5000  0.0000  0.5000



(4)
This record from the Alexandria database describes crystalline SmCdHg2 at its relaxed geometry. The functional is GGA-PBEsol.

## Properties
The total magnetization comes out at 0.0000 μB per atom. The symmetry is Fm-3m (225). The value obtained for the formation energy is -0.493 eV per atom. The value obtained for the total energy is -0.1726 Ry/atom.

Lattice parameters (Å, degrees): 5.0396 5.0396 5.0396 60.00 60.00 60.00
Fractional positions:
Hg  0.7500  0.7500  0.7500
Hg  0.2500  0.2500  0.2500
Cd  0.5000  0.5000  0.5000
Sm  0.0000  0.0000  0.0000